1.
Density functional theory data (PBE-GGA) for a relaxed LiCrRe3 crystal.

a b c (Å): 4.4700 4.4700 4.4700
angles (deg): 90.00 90.00 90.00
Closest atoms and distances in Å follow each position.
Atoms (fractional coordinates):
Re 0.0000 0.0000 0.5000  2 Cr 2.24
Re 0.0000 0.5000 0.0000  2 Cr 2.24
Re 0.5000 0.0000 0.0000  2 Cr 2.24
Cr 0.0000 0.0000 0.0000  6 Re 2.24
Li 0.5000 0.5000 0.5000  12 Re 3.16

space-group type: No. 221
crystal system: cubic
DOS(E_F): 5.767 states/eV/f.u.

---

2.
Density functional theory data (PBE-GGA) for a relaxed AgAuSe crystal.

a b c (Å): 5.2009 5.2009 5.2009
angles (deg): 146.25 132.16 59.83
Closest atoms and distances in Å follow each position.
Atoms (fractional coordinates):
Se 0.6632 0.6632 0.0000  5 Au 2.92-3.04, 5 Ag 2.99-3.01, 2 Se 3.02
Ag 0.9976 0.9976 0.0000  5 Au 2.96-3.08, 5 Se 2.99-3.01, 2 Ag 3.02
Au 0.3393 0.3393 0.0000  5 Se 2.92-3.04, 5 Ag 2.96-3.08, 2 Au 3.02

space-group type: No. 44
raw formation energy: 0.46 eV/f.u.
crystal system: orthorhombic
DOS(E_F): 0.579 states/eV/f.u.

---

3.
Density functional theory data (PBE-GGA) for a relaxed KRb2SnCl8 crystal.

a b c (Å): 7.2124 6.3685 9.1766
angles (deg): 72.80 91.52 92.35
Closest atoms and distances in Å follow each position.
Atoms (fractional coordinates):
Rb 0.4887 0.6604 0.2059  6 Cl 3.28-3.59
Rb 0.5113 0.3396 0.7941  6 Cl 3.28-3.59
Sn 0.0000 0.0000 0.0000  6 Cl 2.46-2.51
Cl 0.2257 0.8237 0.8802  1 Sn 2.47
Cl 0.2579 0.1741 0.1088  1 Sn 2.46
Cl 0.7743 0.1763 0.1198  1 Sn 2.47
Cl 0.0032 0.6889 0.2428  1 Sn 2.51
Cl 0.7421 0.8259 0.8912  1 Sn 2.46
Cl 0.9968 0.3111 0.7572  1 Sn 2.51
Cl 0.4258 0.1889 0.4865  1 Cl 2.62
Cl 0.5742 0.8111 0.5135  1 Cl 2.62
K 0.0000 0.0000 0.5000  4 Cl 3.24-3.50

space-group type: No. 2
raw formation energy: -16.29 eV/f.u.
crystal system: triclinic

---

It is found that the energy values, taken in the order of the records, are -41.08; -9.16; -38.10 eV per formula unit.